Below is a geometry-optimized CsGaSn structure, with properties calculated at the PBE-GGA level.

abc: 4.6620 4.6620 6.2982
angles: 90.00 90.00 120.00
Atoms (fractional coordinates):
Cs 0.0000 0.0000 0.0000
Ga 0.3333 0.6667 0.5014
Sn 0.6667 0.3333 0.4989

calculated formation energy	-0.209	eV per atom
uncorrected energy	-8.5	eV/cell
volume	39.52	A^3/atom
M_tot	0.00	μB per cell

---

Below is a geometry-optimized CsGa3Sn structure, with properties calculated at the PBE-GGA level.

abc: 5.6939 5.6939 5.6939
angles: 90.00 90.00 90.00
Atoms (fractional coordinates):
Cs 0.0000 0.0000 0.0000
Ga 0.0000 0.5000 0.5000
Ga 0.5000 0.0000 0.5000
Ga 0.5000 0.5000 0.0000
Sn 0.5000 0.5000 0.5000

calculated formation energy	0.272	eV per atom
energy relative to the lowest polymorph listed for this composition	0.000	eV/f.u.
uncorrected energy	-12.6	eV/cell
volume	36.92	A^3/atom
M_tot	0.00	μB per cell